Record 1
Compound: Pr2TcC3
Source: the Alexandria database
Functional: PBE
Structure: relaxed

```
data_Pr2TcC3
_chemical_formula_sum 'Pr8 Tc4 C12'
_space_group_name_H-M_alt 'C m c m'
_space_group_IT_number 63
_space_group_name_Hall '-C 2c 2'
_cell_length_a 11.886
_cell_length_b 6.322
_cell_length_c 5.695
_cell_angle_alpha 90.00
_cell_angle_beta 90.00
_cell_angle_gamma 90.00
loop_
_atom_site_label
_atom_site_fract_x
_atom_site_fract_y
_atom_site_fract_z
Pr1 0.149 0.237 0.250
Tc1 0.000 0.300 0.750
C1 0.000 0.500 0.000
C2 0.146 0.162 0.750
```

## Properties
energy	-7.91	eV/atom

***

Record 2
Compound: PrTc2C
Source: the Alexandria database
Functional: PBE
Structure: relaxed

```
data_PrTc2C
_chemical_formula_sum 'Pr4 Tc8 C4'
_space_group_name_H-M_alt 'C m c m'
_space_group_IT_number 63
_space_group_name_Hall '-C 2c 2'
_cell_length_a 3.059
_cell_length_b 11.137
_cell_length_c 7.975
_cell_angle_alpha 90.00
_cell_angle_beta 90.00
_cell_angle_gamma 90.00
loop_
_atom_site_label
_atom_site_fract_x
_atom_site_fract_y
_atom_site_fract_z
Pr1 0.000 0.065 0.250
Tc1 0.000 0.330 0.080
C1 0.000 0.187 0.750
```

## Properties
energy	-8.47	eV/atom

***

Record 3
Compound: PrTcC
Source: the Alexandria database
Functional: PBE
Structure: relaxed

```
data_PrTcC
_chemical_formula_sum 'Pr2 Tc2 C2'
_space_group_name_H-M_alt 'I 4 m m'
_space_group_IT_number 107
_space_group_name_Hall 'I 4 -2'
_cell_length_a 2.986
_cell_length_b 2.986
_cell_length_c 10.718
_cell_angle_alpha 90.00
_cell_angle_beta 90.00
_cell_angle_gamma 90.00
loop_
_atom_site_label
_atom_site_fract_x
_atom_site_fract_y
_atom_site_fract_z
Pr1 0.000 0.000 0.000
Tc1 0.000 0.000 0.274
C1 0.000 0.000 0.723
```

## Properties
energy	-7.69	eV/atom

***

Record 4
Compound: Pr3Tc2C4
Source: the Alexandria database
Functional: PBE
Structure: relaxed

```
data_Pr3Tc2C4
_chemical_formula_sum 'Pr6 Tc4 C8'
_space_group_name_H-M_alt 'C 1 2/m 1'
_space_group_IT_number 12
_cell_length_a 11.748
_cell_length_b 3.453
_cell_length_c 7.342
_cell_angle_alpha 90.00
_cell_angle_beta 93.11
_cell_angle_gamma 90.00
loop_
_space_group_symop_operation_xyz
'x,y,z'
'-x,-y,-z'
'-x,y,-z'
'x,-y,z'
'x+1/2,y+1/2,z'
'-x+1/2,-y+1/2,-z'
'-x+1/2,y+1/2,-z'
'x+1/2,-y+1/2,z'
loop_
_atom_site_label
_atom_site_fract_x
_atom_site_fract_y
_atom_site_fract_z
Pr1 0.000 0.000 0.000
Pr2 0.125 0.500 0.429
Tc1 0.218 0.500 0.841
C1 0.159 0.500 0.087
C2 0.168 0.000 0.696
```

## Properties
energy	-7.89	eV/atom

***

Record 5
Compound: PrTcC
Source: the Alexandria database
Functional: PBE
Structure: relaxed

```
data_PrTcC
_chemical_formula_sum 'Pr1 Tc1 C1'
_space_group_name_H-M_alt 'P -6 m 2'
_space_group_IT_number 187
_space_group_name_Hall 'P -6 2'
_cell_length_a 3.5383
_cell_length_b 3.5383
_cell_length_c 4.7735
_cell_angle_alpha 90.00
_cell_angle_beta 90.00
_cell_angle_gamma 120.00
loop_
_atom_site_label
_atom_site_fract_x
_atom_site_fract_y
_atom_site_fract_z
Pr1 0.0000 0.0000 0.0000
Tc1 0.3333 0.6667 0.5000
C1 0.6667 0.3333 0.5000
```

## Properties
energy	-8.04	eV/atom

***

Record 6
Compound: Pr2TeC
Source: the Alexandria database
Functional: PBE
Structure: relaxed

```
data_Pr2TeC
_chemical_formula_sum 'Pr6 Te3 C3'
_space_group_name_H-M_alt 'R 3 m'
_space_group_IT_number 160
_space_group_name_Hall 'R 3 -2"'
_cell_length_a 4.0048
_cell_length_b 4.0048
_cell_length_c 22.3163
_cell_angle_alpha 90.00
_cell_angle_beta 90.00
_cell_angle_gamma 120.00
loop_
_atom_site_label
_atom_site_fract_x
_atom_site_fract_y
_atom_site_fract_z
Pr1 0.0000 0.0000 0.0000
Pr2 0.0000 0.0000 0.2058
Te1 0.0000 0.0000 0.7697
C1 0.0000 0.0000 0.6020
```

## Properties
E_form (uncorrected)	-693	meV/atom

***

Record 7
Compound: Pr4Te2C
Source: the Alexandria database
Functional: PBE
Structure: relaxed

```
data_Pr4Te2C
_chemical_formula_sum 'Pr8 Te4 C2'
_space_group_name_H-M_alt 'C 1 2/m 1'
_space_group_IT_number 12
_cell_length_a 16.253
_cell_length_b 4.056
_cell_length_c 7.256
_cell_angle_alpha 90.00
_cell_angle_beta 116.17
_cell_angle_gamma 90.00
loop_
_space_group_symop_operation_xyz
'x,y,z'
'-x,-y,-z'
'-x,y,-z'
'x,-y,z'
'x+1/2,y+1/2,z'
'-x+1/2,-y+1/2,-z'
'-x+1/2,y+1/2,-z'
'x+1/2,-y+1/2,z'
loop_
_atom_site_label
_atom_site_fract_x
_atom_site_fract_y
_atom_site_fract_z
Pr1 0.099 0.000 0.245
Pr2 0.105 0.500 0.813
Te1 0.239 0.000 0.731
C1 0.000 0.500 0.000
```

## Properties
E_form (uncorrected)	-752	meV/atom

***

Record 8
Compound: Pr2TeC
Source: the Alexandria database
Functional: PBE
Structure: relaxed

```
data_Pr2TeC
_chemical_formula_sum 'Pr8 Te4 C4'
_space_group_name_H-M_alt 'C m c m'
_space_group_IT_number 63
_space_group_name_Hall '-C 2c 2'
_cell_length_a 7.680
_cell_length_b 14.637
_cell_length_c 3.969
_cell_angle_alpha 90.00
_cell_angle_beta 90.00
_cell_angle_gamma 90.00
loop_
_atom_site_label
_atom_site_fract_x
_atom_site_fract_y
_atom_site_fract_z
Pr1 0.209 0.105 0.250
Te1 0.000 0.300 0.250
C1 0.000 0.073 0.750
```

## Properties
E_form (uncorrected)	-334	meV/atom

***

Record 9
Compound: PrTeC
Source: the Alexandria database
Functional: PBE
Structure: relaxed

```
data_PrTeC
_chemical_formula_sum 'Pr2 Te2 C2'
_space_group_name_H-M_alt 'P -1'
_space_group_IT_number 2
_cell_length_a 4.082
_cell_length_b 6.090
_cell_length_c 7.607
_cell_angle_alpha 102.82
_cell_angle_beta 101.08
_cell_angle_gamma 108.02
loop_
_space_group_symop_operation_xyz
'x,y,z'
'-x,-y,-z'
loop_
_atom_site_label
_atom_site_fract_x
_atom_site_fract_y
_atom_site_fract_z
Pr1 0.199 0.268 0.228
Te1 0.452 0.793 0.144
C1 0.156 0.548 0.557
```

## Properties
E_form (uncorrected)	-626	meV/atom

***

Record 10
Compound: Pr4Te2C
Source: the Alexandria database
Functional: PBE
Structure: relaxed

```
data_Pr4Te2C
_chemical_formula_sum 'Pr8 Te4 C2'
_space_group_name_H-M_alt 'I 4/m m m'
_space_group_IT_number 139
_space_group_name_Hall '-I 4 2'
_cell_length_a 4.947
_cell_length_b 4.947
_cell_length_c 16.672
_cell_angle_alpha 90.00
_cell_angle_beta 90.00
_cell_angle_gamma 90.00
loop_
_atom_site_label
_atom_site_fract_x
_atom_site_fract_y
_atom_site_fract_z
Pr1 0.000 0.000 0.163
Pr2 0.000 0.500 0.000
Te1 0.000 0.000 0.359
C1 0.000 0.000 0.000
```

## Properties
E_form (uncorrected)	-730	meV/atom

***

Record 11
Compound: Pr2TeC
Source: the Alexandria database
Functional: PBE
Structure: relaxed

```
data_Pr2TeC
_chemical_formula_sum 'Pr6 Te3 C3'
_space_group_name_H-M_alt 'R -3 m'
_space_group_IT_number 166
_space_group_name_Hall '-R 3 2"'
_cell_length_a 4.0343
_cell_length_b 4.0343
_cell_length_c 22.0138
_cell_angle_alpha 90.00
_cell_angle_beta 90.00
_cell_angle_gamma 120.00
loop_
_atom_site_label
_atom_site_fract_x
_atom_site_fract_y
_atom_site_fract_z
Pr1 0.0000 0.0000 0.2312
Te1 0.0000 0.0000 0.0000
C1 0.0000 0.0000 0.5000
```

## Properties
E_form (uncorrected)	-717	meV/atom

***

Record 12
Compound: Pr7Te2C2
Source: the Alexandria database
Functional: PBE
Structure: relaxed

```
data_Pr7Te2C2
_chemical_formula_sum 'Pr14 Te4 C4'
_space_group_name_H-M_alt 'C 1 2/m 1'
_space_group_IT_number 12
_cell_length_a 8.192
_cell_length_b 12.050
_cell_length_c 7.927
_cell_angle_alpha 90.00
_cell_angle_beta 98.17
_cell_angle_gamma 90.00
loop_
_space_group_symop_operation_xyz
'x,y,z'
'-x,-y,-z'
'-x,y,-z'
'x,-y,z'
'x+1/2,y+1/2,z'
'-x+1/2,-y+1/2,-z'
'-x+1/2,y+1/2,-z'
'x+1/2,-y+1/2,z'
loop_
_atom_site_label
_atom_site_fract_x
_atom_site_fract_y
_atom_site_fract_z
Pr1 0.000 0.000 0.000
Pr2 0.088 0.500 0.808
Pr3 0.238 0.309 0.215
Te1 0.000 0.314 0.500
C1 0.209 0.500 0.118
```

## Properties
E_form (uncorrected)	-304	meV/atom

***

Number 1: calculated density 6.45 g/cm3, volume 428.0 Å³/cell. Number 2: calculated density 8.53 g/cm3, volume 271.7 Å³/cell. Number 3: calculated density 8.72 g/cm3, volume 95.6 Å³/cell. Number 4: calculated density 7.45 g/cm3, volume 297.4 Å³/cell. Number 5: calculated density 8.05 g/cm3, volume 51.8 Å³/cell. Number 6: calculated density 6.77 g/cm3, volume 310.0 Å³/cell. Number 7: calculated density 6.43 g/cm3, volume 429.3 Å³/cell. Number 8: calculated density 6.27 g/cm3, volume 446.2 Å³/cell. Number 9: calculated density 5.54 g/cm3, volume 168.3 Å³/cell. Number 10: calculated density 6.76 g/cm3, volume 408.0 Å³/cell. Number 11: calculated density 6.77 g/cm3, volume 310.3 Å³/cell. Number 12: calculated density 5.43 g/cm3, volume 774.5 Å³/cell.